1.
! Cd2SiBr, relaxed, DFT PBE; values from VASP
! Formation energy without anion corrections (meV/atom): 162
&SYSTEM
  ibrav = 0, nat = 4, ntyp = 3
/
ATOMIC_SPECIES
Si 28.09 Si.upf
Br 79.90 Br.upf
Cd 112.41 Cd.upf
ATOMIC_POSITIONS crystal
Si 0.5000 0.2500 0.2500
Br 0.5000 0.7500 0.7500
Cd 0.0000 0.4252 0.4439
Cd 0.0000 0.0748 0.0561
CELL_PARAMETERS angstrom
-2.5627 0.8919 -2.2622
0.1191 -5.8168 -2.4283
-3.2407 -5.3156 1.5754

=====

2.
! CdSiBr, relaxed, DFT PBE; values from VASP
! Formation energy without anion corrections (meV/atom): 307
&SYSTEM
  ibrav = 0, nat = 3, ntyp = 3
/
ATOMIC_SPECIES
Si 28.09 Si.upf
Br 79.90 Br.upf
Cd 112.41 Cd.upf
ATOMIC_POSITIONS crystal
Si 0.3333 0.6667 0.6492
Br 0.0000 0.0000 0.9976
Cd 0.6667 0.3333 0.3533
CELL_PARAMETERS angstrom
-3.7154 -0.2241 0.5911
1.7826 -2.7548 -1.8539
0.9921 -2.8322 5.1625

=====

3.
! Cd2SiBr, relaxed, DFT PBE; values from VASP
! Formation energy without anion corrections (meV/atom): 74
&SYSTEM
  ibrav = 0, nat = 4, ntyp = 3
/
ATOMIC_SPECIES
Br 79.90 Br.upf
Cd 112.41 Cd.upf
Si 28.09 Si.upf
ATOMIC_POSITIONS crystal
Br 0.2907 0.7907 0.5000
Cd 0.6856 0.1856 0.5000
Cd 0.9871 0.9871 0.0000
Si 0.5366 0.5366 0.0000
CELL_PARAMETERS angstrom
7.5972 1.6176 -0.4459
4.8214 6.0900 0.4459
-5.7691 -4.5630 2.5355